No. 1
VASP calculation (PBE-GGA) on Li4ZnGa2Au after structural relaxation.

Output
Symmetry: P-4m2, No. 115
E in eV/atom: -2.685

Unit cell a=4.351 b=4.351 c=6.151 alpha=90.00 beta=90.00 gamma=90.00
Positions (direct):
Li: 0.000 0.000 0.000
Li: 0.000 0.500 0.750
Li: 0.500 0.000 0.250
Li: 0.500 0.500 0.500
Zn: 0.000 0.000 0.500
Ga: 0.000 0.500 0.252
Ga: 0.500 0.000 0.748
Au: 0.500 0.500 0.000

---

No. 2
VASP calculation (PBE-GGA) on LaAlIr after structural relaxation.

Output
Symmetry: P6_3/mmc, No. 194
E in eV/atom: -5.896

Unit cell a=4.904 b=4.904 c=6.128 alpha=90.00 beta=90.00 gamma=120.00
Positions (direct):
La: 0.333 0.667 0.250
La: 0.667 0.333 0.750
Al: 0.333 0.667 0.750
Al: 0.667 0.333 0.250
Ir: 0.000 0.000 0.000
Ir: 0.000 0.000 0.500

---

No. 3
VASP calculation (PBE-GGA) on YMgTcTe after structural relaxation.

Output
Symmetry: F-43m, No. 216
E in eV/atom: -5.348
Polymorph energy (0 for the lowest one) in meV/atom: 34.4

Unit cell a=4.835 b=4.835 c=4.835 alpha=60.00 beta=60.00 gamma=60.00
Positions (direct):
Y: 0.000 0.000 0.000
Mg: 0.250 0.250 0.250
Tc: 0.750 0.750 0.750
Te: 0.500 0.500 0.500

---

No. 4
VASP calculation (PBE-GGA) on YHo2Al3Cu2Ni after structural relaxation.

Output
Symmetry: Amm2, No. 38
E in eV/atom: -4.942

Unit cell a=3.989 b=6.969 c=6.969 alpha=120.07 beta=90.00 gamma=90.00
Positions (direct):
Y: 0.000 0.000 0.000
Ho: 0.000 0.412 0.822
Ho: 0.000 0.822 0.412
Al: 0.500 0.181 0.411
Al: 0.500 0.411 0.181
Al: 0.500 0.642 0.642
Cu: 0.500 0.080 0.742
Cu: 0.500 0.742 0.080
Ni: 0.000 0.415 0.415